# Ca3VBi

Crystalline Ca3VBi at its relaxed geometry (GGA-PBE, the Alexandria database).

Cell and atoms, written as POSCAR:
```
Ca3VBi
1.0
5.681 0.000 0.000
0.000 5.681 0.000
0.000 0.000 5.681
Ca V Bi
3 1 1
direct
0.000 0.000 0.500
0.000 0.500 0.000
0.500 0.000 0.000
0.000 0.000 0.000
0.500 0.500 0.500
```

N(E_F) = 3.2 states/eV/cell
Formation enthalpy at 0 K = 42.9 kJ per mole of atoms



# BeTePd

Crystalline BeTePd at its relaxed geometry (GGA-PBE, the Alexandria database).

Cell and atoms, written as POSCAR:
```
BeTePd
1.0
3.125 0.000 0.000
0.000 3.526 0.000
-1.518 0.000 10.592
Be Te Pd
2 2 2
direct
0.034 0.250 0.069
0.966 0.750 0.931
0.157 0.750 0.323
0.843 0.250 0.677
0.448 0.250 0.894
0.552 0.750 0.106
```

N(E_F) = 1.5 states/eV/cell
Formation energy (no corrections) = -0.292 eV/atom



# LaGdAlAu

Crystalline LaGdAlAu at its relaxed geometry (GGA-PBE, the Alexandria database).

Cell and atoms, written as POSCAR:
```
LaGdAlAu
1.0
0.000 3.739 3.739
3.739 0.000 3.739
3.739 3.739 0.000
La Gd Al Au
1 1 1 1
direct
0.000 0.000 0.000
0.500 0.500 0.500
0.750 0.750 0.750
0.250 0.250 0.250
```

N(E_F) = 4.9 states/eV/cell
Formation enthalpy at 0 K = -50.2 kJ per mole of atoms



# Rb5Sn2Te6

Crystalline Rb5Sn2Te6 at its relaxed geometry (GGA-PBE, the Alexandria database).

Cell and atoms, written as POSCAR:
```
Rb5Sn2Te6
1.0
14.207 0.000 0.000
0.000 16.358 0.000
0.000 0.000 5.081
Rb Sn Te
10 4 12
direct
0.000 0.000 0.000
0.071 0.254 0.000
0.176 0.501 0.000
0.324 0.001 0.000
0.429 0.754 0.000
0.500 0.500 0.000
0.571 0.246 0.000
0.676 0.999 0.000
0.824 0.499 0.000
0.929 0.746 0.000
0.178 0.709 0.500
0.322 0.209 0.500
0.678 0.791 0.500
0.822 0.291 0.500
0.023 0.600 0.500
0.162 0.106 0.500
0.178 0.804 0.000
0.322 0.304 0.000
0.338 0.606 0.500
0.477 0.100 0.500
0.523 0.900 0.500
0.662 0.394 0.500
0.678 0.696 0.000
0.822 0.196 0.000
0.838 0.894 0.500
0.977 0.400 0.500
```

N(E_F) = 4.1 states/eV/cell
Formation energy (no corrections) = -0.761 eV/atom



# LaHoTm2

Crystalline LaHoTm2 at its relaxed geometry (GGA-PBE, the Alexandria database).

Cell and atoms, written as POSCAR:
```
LaHoTm2
1.0
5.911 -1.784 0.000
5.911 1.784 0.000
-1.079 0.000 6.042
La Ho Tm
1 1 2
direct
0.000 0.000 0.000
0.752 0.752 0.251
0.250 0.250 0.748
0.501 0.501 0.501
```

N(E_F) = 5.3 states/eV/cell
Formation enthalpy at 0 K = 2.6 kJ per mole of atoms



# BaAs3Ir

Crystalline BaAs3Ir at its relaxed geometry (GGA-PBE, the Alexandria database).

Cell and atoms, written as POSCAR:
```
BaAs3Ir
1.0
5.029 0.000 0.000
0.000 5.029 0.000
0.000 0.000 5.029
Ba As Ir
1 3 1
direct
0.000 0.000 0.000
0.000 0.500 0.500
0.500 0.000 0.500
0.500 0.500 0.000
0.500 0.500 0.500
```

N(E_F) = 4.2 states/eV/cell
Formation enthalpy at 0 K = -8.2 kJ per mole of atoms



# LaTaMo

Crystalline LaTaMo at its relaxed geometry (GGA-PBE, the Alexandria database).

Cell and atoms, written as POSCAR:
```
LaTaMo
1.0
5.036 -2.325 0.000
5.036 2.325 0.000
-3.127 0.000 5.767
La Ta Mo
2 2 2
direct
0.000 0.000 0.000
0.648 0.648 0.831
0.374 0.374 0.260
0.700 0.700 0.384
0.003 0.003 0.470
0.293 0.293 0.596
```

N(E_F) = 5.9 states/eV/cell
Formation enthalpy at 0 K = 36.4 kJ per mole of atoms



# Re2Os

Crystalline Re2Os at its relaxed geometry (GGA-PBE, the Alexandria database).

Cell and atoms, written as POSCAR:
```
Re2Os
1.0
2.292 -4.310 0.000
2.292 4.310 0.000
0.000 0.000 4.567
Re Os
4 2
direct
0.000 0.000 0.000
0.166 0.834 0.500
0.500 0.500 0.500
0.834 0.166 0.500
0.337 0.663 0.000
0.663 0.337 0.000
```

N(E_F) = 6.3 states/eV/cell
Formation enthalpy at 0 K = 44.3 kJ per mole of atoms



# LaBrN2O

Crystalline LaBrN2O at its relaxed geometry (GGA-PBE, the Alexandria database).

Cell and atoms, written as POSCAR:
```
LaBrN2O
1.0
5.076 0.000 0.000
0.000 5.076 0.000
0.000 0.000 4.263
La Br N O
1 1 2 1
direct
0.000 0.000 0.000
0.500 0.500 0.500
0.000 0.500 0.000
0.500 0.000 0.000
0.000 0.000 0.500
```

N(E_F) = 4.5 states/eV/cell
Formation energy (no corrections) = 0.834 eV/atom



# Cs5TmTe4

Crystalline Cs5TmTe4 at its relaxed geometry (GGA-PBE, the Alexandria database).

Cell and atoms, written as POSCAR:
```
Cs5TmTe4
1.0
11.428 -2.543 0.000
11.428 2.543 0.000
-4.050 0.000 8.762
Cs Tm Te
5 1 4
direct
0.000 0.000 0.000
0.329 0.329 0.071
0.330 0.330 0.596
0.670 0.670 0.404
0.671 0.671 0.929
0.000 0.000 0.500
0.155 0.155 0.651
0.500 0.500 0.292
0.500 0.500 0.708
0.845 0.845 0.349
```

Formation energy (no corrections) = -0.994 eV/atom



# PuAlS

Crystalline PuAlS at its relaxed geometry (GGA-PBE, the Alexandria database).

Cell and atoms, written as POSCAR:
```
PuAlS
1.0
3.416 0.000 0.000
-1.708 2.958 0.000
0.000 0.000 12.296
Pu Al S
2 2 2
direct
0.000 0.000 0.201
0.000 0.000 0.799
0.000 0.000 0.500
0.667 0.333 0.000
0.667 0.333 0.375
0.667 0.333 0.625
```

N(E_F) = 15.5 states/eV/cell
Formation energy (no corrections) = -0.521 eV/atom



# NaCuF3

Crystalline NaCuF3 at its relaxed geometry (GGA-PBE, the Alexandria database).

Cell and atoms, written as POSCAR:
```
NaCuF3
1.0
2.649 1.529 5.374
-2.649 1.529 5.374
0.000 -3.059 5.374
Na Cu F
2 2 6
direct
0.140 0.140 0.140
0.860 0.860 0.860
0.340 0.340 0.340
0.660 0.660 0.660
0.067 0.482 0.688
0.312 0.518 0.933
0.482 0.688 0.067
0.518 0.933 0.312
0.688 0.067 0.482
0.933 0.312 0.518
```

N(E_F) = 7.2 states/eV/cell
Formation energy (no corrections) = -1.902 eV/atom



M_tot / μB/f.u.: 5.6 0.0 7.6 0.0 0.0 0.0 0.0 0.0 1.7 0.0 5.9 1.0